## HfNbS4 (PBE)

Data for a relaxed HfNbS4 crystal.

```
data_HfNbS4
_space_group_name_H-M_alt 'P 1 2/m 1'
_space_group_IT_number 10
_space_group_name_Hall '-P 2y'
_cell_length_a 6.095
_cell_length_b 3.500
_cell_length_c 6.992
_cell_angle_alpha 90.00
_cell_angle_beta 106.30
_cell_angle_gamma 90.00
loop_
_atom_site_label
_atom_site_fract_x
_atom_site_fract_y
_atom_site_fract_z
Hf1 0.000 0.000 0.000
Nb1 0.500 0.500 0.000
S1 0.244 0.500 0.224
S2 0.266 0.000 0.777
```

Properties
The total energy is -7.3325 eV/atom. The energy relative to the elements, uncorrected comes out at -1.244 eV per atom. The value obtained for the density of states at the Fermi level is 2.9 states/eV/cell. For the magnetization, the calculation gives 0.0 μB/cell.